1.
A relaxed LaSmTmHg crystal. Source: the Alexandria database, functional PBE.

```
LaSmTmHg
1.0
0.000 3.912 3.912
3.912 0.000 3.912
3.912 3.912 0.000
La Sm Tm Hg
1 1 1 1
Direct
0.000 0.000 0.000 La
0.500 0.500 0.500 Sm
0.750 0.750 0.750 Tm
0.250 0.250 0.250 Hg
```

## Properties
space-group type	F-43m
ΔH_f (0 K)	-0.37	eV per formula unit
DOS at the Fermi energy	5.79	states/eV/cell
crystal system	cubic
relative energy among the computed polymorphs	134	meV per atom

---

2.
A relaxed In2AgSb crystal. Source: the Alexandria database, functional PBE.

```
In2AgSb
1.0
-1.663 2.590 5.950
1.663 -2.590 5.950
1.663 2.590 -5.950
In Ag Sb
2 1 1
Direct
0.000 0.000 0.000 In
0.695 0.195 0.500 In
0.481 0.481 0.000 Ag
0.275 0.775 0.500 Sb
```

## Properties
E_form (uncorrected)	73	meV per atom
space-group type	Imm2
DOS at the Fermi energy	1.19	states/eV/cell
crystal system	orthorhombic

---

3.
A relaxed PmMgTlF6 crystal. Source: the Alexandria database, functional PBE.

```
PmMgTlF6
1.0
-3.664 3.948 5.139
3.664 -3.948 5.139
3.664 3.948 -5.139
Pm Mg Tl F
2 2 2 12
Direct
0.000 0.000 0.000 Pm
0.500 0.000 0.500 Pm
0.500 0.000 0.000 Mg
0.500 0.500 0.500 Mg
0.171 0.421 0.750 Tl
0.829 0.579 0.250 Tl
0.137 0.887 0.250 F
0.182 0.385 0.337 F
0.182 0.845 0.797 F
0.424 0.174 0.250 F
0.452 0.155 0.837 F
0.452 0.615 0.297 F
0.548 0.385 0.703 F
0.548 0.845 0.163 F
0.576 0.826 0.750 F
0.818 0.155 0.203 F
0.818 0.615 0.663 F
0.863 0.113 0.750 F
```

## Properties
E_form (uncorrected)	-3350	meV per atom
space-group type	Imma
DOS at the Fermi energy	0.00	states/eV/cell
crystal system	orthorhombic

---

4.
A relaxed TbGe3Au3 crystal. Source: the Alexandria database, functional PBE.

```
TbGe3Au3
1.0
7.047 0.000 0.000
0.000 7.047 0.000
0.000 0.000 7.047
Tb Ge Au
2 6 6
Direct
0.000 0.000 0.000 Tb
0.500 0.500 0.500 Tb
0.000 0.250 0.500 Ge
0.000 0.750 0.500 Ge
0.250 0.500 0.000 Ge
0.500 0.000 0.250 Ge
0.500 0.000 0.750 Ge
0.750 0.500 0.000 Ge
0.000 0.500 0.250 Au
0.000 0.500 0.750 Au
0.250 0.000 0.500 Au
0.500 0.250 0.000 Au
0.500 0.750 0.000 Au
0.750 0.000 0.500 Au
```

## Properties
space-group type	Pm-3n
ΔH_f (0 K)	0.50	eV per formula unit
DOS at the Fermi energy	6.30	states/eV/cell
crystal system	cubic